[1]
Computed, not measured: crystalline ZnSnPd2 at its relaxed geometry at the GGA-PBE level of DFT.

The spin magnetization is 0.00 μB/f.u. Its total energy is -4.2374 eV/atom. For the formation energy, the calculation gives -0.32 eV per atom.

The structure belongs to space group P2/m (No. 10); the cell edges are 6.970, 2.977 and 7.254 Å and the angles 90.00°, 90.07° and 90.00°. Symmetry generates all atoms from Zn at (0.000, 0.000, 0.000), Zn at (0.000, 0.000, 0.500), Sn at (0.414, 0.000, 0.250), Pd at (0.295, 0.500, 0.552) and Pd at (0.295, 0.500, 0.947).

[2]
Computed, not measured: crystalline ErHfZr at its relaxed geometry at the GGA-PBE level of DFT.

The spin magnetization is 0.00 μB/f.u. For the energy above the most stable polymorph in this dataset, the calculation gives 20 meV per atom. Its total energy is -7.5768 eV/atom. For the formation energy, the calculation gives 0.11 eV per atom.

The structure belongs to space group Cmcm (No. 63); the cell edges are 3.237, 20.059 and 4.629 Å and the angles 90.00°, 90.00° and 90.00°. Symmetry generates all atoms from Er at (0.000, 0.054, 0.250), Hf at (0.000, 0.213, 0.250) and Zr at (0.000, 0.365, 0.250).

[3]
Computed, not measured: crystalline K2NpRuO6 at its relaxed geometry at the GGA-PBE level of DFT.

The spin magnetization is 1.19 μB/f.u. Its total energy is -7.4042 eV/atom. The value obtained for the formation energy from raw total energies is -1.988 eV/atom.

The structure belongs to space group Fm-3m (No. 225); the cell edges are 8.181, 8.181 and 8.181 Å and the angles 90.00°, 90.00° and 90.00°. Symmetry generates all atoms from K at (0.250, 0.250, 0.250), Np at (0.000, 0.000, 0.000), Ru at (0.000, 0.000, 0.500) and O at (0.000, 0.000, 0.254).

[4]
Computed, not measured: crystalline YBeTl at its relaxed geometry at the GGA-PBE level of DFT.

The spin magnetization is 0.29 μB/f.u. For the energy above the most stable polymorph in this dataset, the calculation gives 252 meV per atom. Its total energy is -4.0530 eV/atom. For the formation energy, the calculation gives 0.13 eV per atom.

The structure belongs to space group I4mm (No. 107); the cell edges are 3.310, 3.310 and 11.728 Å and the angles 90.00°, 90.00° and 90.00°. Symmetry generates all atoms from Y at (0.000, 0.000, 0.000), Be at (0.000, 0.000, 0.346) and Tl at (0.000, 0.000, 0.711).

[5]
Computed, not measured: crystalline Pu6IrAu5 at its relaxed geometry at the GGA-PBE level of DFT.

The spin magnetization is 34.34 μB/f.u. Its total energy is -9.6733 eV/atom. For the formation energy, the calculation gives -0.40 eV per atom.

The structure belongs to space group Cmmm (No. 65); the cell edges are 4.984, 15.035 and 7.479 Å and the angles 90.00°, 90.00° and 90.00°. Symmetry generates all atoms from Pu at (0.000, 0.000, 0.230), Pu at (0.000, 0.344, 0.242), Ir at (0.000, 0.500, 0.000), Au at (0.000, 0.172, 0.500), Au at (0.000, 0.176, 0.000) and Au at (0.000, 0.500, 0.500).

[6]
Computed, not measured: crystalline NdTcBrO4 at its relaxed geometry at the GGA-PBE level of DFT.

The spin magnetization is 1.01 μB/f.u. Its total energy is -7.2103 eV/atom. The value obtained for the formation energy from raw total energies is -1.976 eV/atom.

The structure belongs to space group C2/m (No. 12); the cell edges are 10.804, 7.375 and 7.075 Å and the angles 90.00°, 104.10° and 90.00°. Symmetry generates all atoms from Nd at (0.227, 0.000, 0.111), Tc at (0.133, 0.500, 0.277), Br at (0.014, 0.000, 0.754), O at (0.034, 0.500, 0.785), O at (0.194, 0.321, 0.143) and O at (0.211, 0.500, 0.525).

[7]
Computed, not measured: crystalline TbSmDyHg at its relaxed geometry at the GGA-PBE level of DFT.

The spin magnetization is 0.00 μB/f.u. For the energy above the most stable polymorph in this dataset, the calculation gives 177 meV per atom. Its total energy is -3.6154 eV/atom. For the formation energy, the calculation gives -0.05 eV per atom.

The structure belongs to space group F-43m (No. 216); the cell edges are 7.694, 7.694 and 7.694 Å and the angles 90.00°, 90.00° and 90.00°. Symmetry generates all atoms from Tb at (0.000, 0.000, 0.000), Sm at (0.250, 0.250, 0.250), Dy at (0.250, 0.250, 0.750) and Hg at (0.000, 0.000, 0.500).

[8]
Computed, not measured: crystalline Pu3Ga4 at its relaxed geometry at the GGA-PBE level of DFT.

The spin magnetization is 5.47 μB/f.u. For the energy above the most stable polymorph in this dataset, the calculation gives 0 meV per atom. Its total energy is -7.9402 eV/atom. For the formation energy, the calculation gives -0.07 eV per atom.

The structure belongs to space group Immm (No. 71); the cell edges are 4.018, 4.313 and 15.847 Å and the angles 90.00°, 90.00° and 90.00°. Symmetry generates all atoms from Pu at (0.000, 0.000, 0.000), Pu at (0.000, 0.500, 0.399), Ga at (0.000, 0.000, 0.253) and Ga at (0.000, 0.500, 0.131).